No. 1
DFT (PBE-GGA) results for a relaxed Re2Te3S crystal.

a b c (Å): 6.947 7.135 7.254
angles (deg): 91.91 103.77 118.83
Atoms (fractional coordinates):
Re1 0.014 0.199 0.005
Re2 0.424 0.175 0.012
Re3 0.576 0.825 0.988
Re4 0.986 0.801 0.995
Te1 0.223 0.842 0.733
Te2 0.252 0.636 0.192
Te3 0.282 0.396 0.777
Te4 0.718 0.604 0.223
Te5 0.748 0.364 0.808
Te6 0.777 0.158 0.267
S1 0.225 0.101 0.248
S2 0.775 0.899 0.752

Values from the calculation:
The value obtained for the relative energy among the computed polymorphs is 0 meV/atom. The calculation puts the total magnetization at 0.00 μB per cell. As for the symmetry: P-1, No. 2. For the total energy, the calculation gives -6.625 eV per atom.

***

No. 2
DFT (PBE-GGA) results for a relaxed Li2Fe2Pt crystal.

a b c (Å): 2.654 3.681 12.879
angles (deg): 90.00 90.00 90.00
Atoms (fractional coordinates):
Li1 0.000 0.000 0.096
Li2 0.000 0.000 0.904
Li3 0.500 0.500 0.404
Li4 0.500 0.500 0.596
Fe1 0.000 0.000 0.295
Fe2 0.000 0.000 0.705
Fe3 0.500 0.500 0.205
Fe4 0.500 0.500 0.795
Pt1 0.000 0.000 0.500
Pt2 0.500 0.500 0.000

Values from the calculation:
The calculation puts the total magnetization at 11.02 μB per cell. As for the symmetry: Immm, No. 71. For the total energy, the calculation gives -5.380 eV per atom.

***

No. 3
DFT (PBE-GGA) results for a relaxed SrTbB crystal.

a b c (Å): 6.709 6.709 6.709
angles (deg): 90.00 90.00 90.00
Atoms (fractional coordinates):
Sr1 0.000 0.000 0.000
Sr2 0.000 0.500 0.500
Sr3 0.500 0.000 0.500
Sr4 0.500 0.500 0.000
Tb1 0.000 0.000 0.500
Tb2 0.000 0.500 0.000
Tb3 0.500 0.000 0.000
Tb4 0.500 0.500 0.500
B1 0.250 0.250 0.250
B2 0.250 0.750 0.750
B3 0.750 0.250 0.750
B4 0.750 0.750 0.250

Values from the calculation:
The calculation puts the total magnetization at 0.00 μB per cell. As for the symmetry: F-43m, No. 216. For the total energy, the calculation gives -3.875 eV per atom.

***

No. 4
DFT (PBE-GGA) results for a relaxed ErTm2Ge4Pd4 crystal.

a b c (Å): 8.071 8.071 8.071
angles (deg): 150.24 127.87 61.18
Atoms (fractional coordinates):
Er1 0.000 0.000 0.000
Tm1 0.374 0.874 0.500
Tm2 0.626 0.126 0.500
Ge1 0.218 0.218 0.000
Ge2 0.312 0.500 0.812
Ge3 0.688 0.500 0.188
Ge4 0.782 0.782 0.000
Pd1 0.026 0.325 0.701
Pd2 0.376 0.675 0.701
Pd3 0.624 0.325 0.299
Pd4 0.974 0.675 0.299

Values from the calculation:
The calculation puts the total magnetization at 0.01 μB per cell. As for the symmetry: Immm, No. 71. For the total energy, the calculation gives -5.694 eV per atom.

***

No. 5
DFT (PBE-GGA) results for a relaxed ScNbCoPb crystal.

a b c (Å): 6.642 6.642 6.642
angles (deg): 90.00 90.00 90.00
Atoms (fractional coordinates):
Sc1 0.000 0.000 0.000
Sc2 0.000 0.500 0.500
Sc3 0.500 0.000 0.500
Sc4 0.500 0.500 0.000
Nb1 0.250 0.250 0.250
Nb2 0.250 0.750 0.750
Nb3 0.750 0.250 0.750
Nb4 0.750 0.750 0.250
Co1 0.250 0.250 0.750
Co2 0.250 0.750 0.250
Co3 0.750 0.250 0.250
Co4 0.750 0.750 0.750
Pb1 0.000 0.000 0.500
Pb2 0.000 0.500 0.000
Pb3 0.500 0.000 0.000
Pb4 0.500 0.500 0.500

Values from the calculation:
The value obtained for the relative energy among the computed polymorphs is 0 meV/atom. The calculation puts the total magnetization at 11.79 μB per cell. As for the symmetry: F-43m, No. 216. For the total energy, the calculation gives -6.520 eV per atom.

***

No. 6
DFT (PBE-GGA) results for a relaxed Ba2TlReN4 crystal.

a b c (Å): 6.303 6.092 8.455
angles (deg): 90.00 97.66 90.00
Atoms (fractional coordinates):
Ba1 0.231 0.250 0.015
Ba2 0.246 0.250 0.517
Ba3 0.754 0.750 0.483
Ba4 0.769 0.750 0.985
Tl1 0.260 0.750 0.782
Tl2 0.740 0.250 0.218
Re1 0.224 0.750 0.285
Re2 0.776 0.250 0.715
N1 0.055 0.506 0.235
N2 0.055 0.994 0.235
N3 0.321 0.750 0.500
N4 0.457 0.750 0.181
N5 0.543 0.250 0.819
N6 0.679 0.250 0.500
N7 0.945 0.006 0.765
N8 0.945 0.494 0.765

Values from the calculation:
The calculation puts the total magnetization at 0.01 μB per cell. As for the symmetry: P2_1/m, No. 11. For the total energy, the calculation gives -7.024 eV per atom.

***

No. 7
DFT (PBE-GGA) results for a relaxed MgNb2Tl crystal.

a b c (Å): 6.795 6.795 6.795
angles (deg): 90.00 90.00 90.00
Atoms (fractional coordinates):
Mg1 0.000 0.000 0.000
Mg2 0.000 0.500 0.500
Mg3 0.500 0.000 0.500
Mg4 0.500 0.500 0.000
Nb1 0.000 0.000 0.500
Nb2 0.000 0.500 0.000
Nb3 0.250 0.250 0.250
Nb4 0.250 0.750 0.750
Nb5 0.500 0.000 0.000
Nb6 0.500 0.500 0.500
Nb7 0.750 0.250 0.750
Nb8 0.750 0.750 0.250
Tl1 0.250 0.250 0.750
Tl2 0.250 0.750 0.250
Tl3 0.750 0.250 0.250
Tl4 0.750 0.750 0.750

Values from the calculation:
The calculation puts the total magnetization at 0.01 μB per cell. As for the symmetry: F-43m, No. 216. For the total energy, the calculation gives -5.583 eV per atom.

***

No. 8
DFT (PBE-GGA) results for a relaxed Zr2AlNi2Sb crystal.

a b c (Å): 7.405 7.405 7.405
angles (deg): 131.84 131.84 70.48
Atoms (fractional coordinates):
Zr1 0.244 0.244 0.000
Zr2 0.506 0.006 0.500
Zr3 0.756 0.756 0.000
Zr4 0.994 0.494 0.500
Al1 0.000 0.000 0.000
Al2 0.750 0.250 0.500
Ni1 0.120 0.625 0.995
Ni2 0.375 0.370 0.495
Ni3 0.630 0.125 0.005
Ni4 0.875 0.880 0.505
Sb1 0.250 0.750 0.500
Sb2 0.500 0.500 0.000

Values from the calculation:
The calculation puts the total magnetization at 0.00 μB per cell. As for the symmetry: I-42d, No. 122. For the total energy, the calculation gives -6.705 eV per atom.